{"formula": "Nd4InAg2", "functional": "PBE", "state": "relaxed", "cell": [[-4.664, 2.114, 1.417], [-3.861, 0.576, -3.605], [-5.758, -6.805, 1.163]], "species": ["Nd", "Nd", "Nd", "Nd", "Ag", "Ag", "In"], "frac_coords": [[0.386, 0.386, 0.843], [0.869, 0.869, 0.393], [0.131, 0.131, 0.607], [0.614, 0.614, 0.157], [0.258, 0.258, 0.225], [0.742, 0.742, 0.775], [0.000, 0.000, 0.000]], "de_polymorph_ev_per_fu": 0.00, "space_group": "R-3m", "final_energy_ev_per_atom": -4.12}


{"formula": "Nd3InAg", "functional": "PBE", "state": "relaxed", "cell": [[8.320, 0.837, -1.438], [4.804, 6.845, -1.438], [2.175, 1.273, 10.972]], "species": ["Nd", "Nd", "Nd", "Nd", "Nd", "Nd", "Nd", "Nd", "Nd", "Nd", "Nd", "Nd", "In", "In", "In", "In", "Ag", "Ag", "Ag", "Ag"], "frac_coords": [[0.775, 0.848, 0.325], [0.152, 0.225, 0.175], [0.848, 0.775, 0.825], [0.269, 0.837, 0.924], [0.225, 0.152, 0.675], [0.837, 0.269, 0.424], [0.163, 0.731, 0.576], [0.404, 0.354, 0.833], [0.646, 0.596, 0.667], [0.731, 0.163, 0.076], [0.354, 0.404, 0.333], [0.596, 0.646, 0.167], [0.120, 0.619, 0.079], [0.619, 0.120, 0.579], [0.381, 0.880, 0.421], [0.880, 0.381, 0.921], [0.000, 0.500, 0.500], [0.876, 0.124, 0.750], [0.500, 0.000, 0.000], [0.124, 0.876, 0.250]], "de_polymorph_ev_per_fu": 0.44, "space_group": "C2/c", "final_energy_ev_per_atom": -4.16}


{"formula": "Nd4In16Ag3", "functional": "PBE", "state": "relaxed", "cell": [[6.958, 0.000, 0.000], [0.000, 6.958, 0.000], [0.000, 0.000, 12.229]], "species": ["In", "In", "In", "In", "In", "In", "In", "In", "In", "In", "In", "In", "In", "In", "In", "In", "Nd", "Nd", "Nd", "Nd", "Ag", "Ag", "Ag"], "frac_coords": [[0.000, 0.000, 0.772], [0.717, 0.283, 0.000], [0.283, 0.283, 0.000], [0.258, 0.742, 0.374], [0.500, 0.500, 0.197], [0.717, 0.717, 0.000], [0.283, 0.717, 0.000], [0.742, 0.258, 0.374], [0.000, 0.000, 0.228], [0.500, 0.500, 0.803], [0.742, 0.742, 0.626], [0.258, 0.742, 0.626], [0.258, 0.258, 0.626], [0.742, 0.742, 0.374], [0.258, 0.258, 0.374], [0.742, 0.258, 0.626], [0.500, 0.000, 0.811], [0.000, 0.500, 0.189], [0.000, 0.500, 0.811], [0.500, 0.000, 0.189], [0.000, 0.500, 0.500], [0.500, 0.000, 0.500], [0.000, 0.000, 0.000]], "space_group": "P4/mmm", "final_energy_ev_per_atom": -3.39}


{"formula": "Nd6InAg2", "functional": "PBE", "state": "relaxed", "cell": [[8.963, 0.165, 0.022], [-3.243, 8.357, -0.022], [-3.040, -4.140, 7.347]], "species": ["Nd", "Nd", "Nd", "Nd", "Nd", "Nd", "Nd", "Nd", "Nd", "Nd", "Nd", "Nd", "Ag", "Ag", "Ag", "Ag", "In", "In"], "frac_coords": [[0.797, 0.755, 0.552], [0.547, 0.730, 0.817], [0.203, 0.245, 0.448], [0.723, 0.400, 0.678], [0.797, 0.245, 0.043], [0.087, 0.270, 0.817], [0.203, 0.755, 0.957], [0.723, 0.045, 0.322], [0.277, 0.955, 0.678], [0.277, 0.600, 0.322], [0.913, 0.730, 0.183], [0.453, 0.270, 0.183], [0.500, 0.369, 0.869], [0.500, 0.631, 0.131], [0.360, 0.000, 0.360], [0.640, 0.000, 0.640], [0.000, 0.500, 0.500], [0.000, 0.000, 0.000]], "space_group": "Immm", "final_energy_ev_per_atom": -4.31}


{"formula": "Nd3In3Ag", "functional": "PBE", "state": "relaxed", "cell": [[4.711, 0.000, 0.710], [2.325, 5.765, 0.559], [0.167, 0.027, 14.883]], "species": ["In", "In", "In", "In", "In", "In", "Nd", "Nd", "Nd", "Nd", "Nd", "Nd", "Ag", "Ag"], "frac_coords": [[0.977, 0.814, 0.233], [0.116, 0.843, 0.924], [0.884, 0.157, 0.076], [0.133, 0.279, 0.455], [0.867, 0.721, 0.545], [0.023, 0.186, 0.767], [0.461, 0.695, 0.384], [0.264, 0.244, 0.227], [0.539, 0.305, 0.616], [0.736, 0.756, 0.773], [0.601, 0.720, 0.078], [0.399, 0.280, 0.922], [0.757, 0.095, 0.390], [0.243, 0.905, 0.610]], "space_group": "C2/m", "final_energy_ev_per_atom": -4.04}


{"formula": "Nd6In5Ag", "functional": "PBE", "state": "relaxed", "cell": [[5.184, -0.031, 1.735], [0.042, 7.725, 0.014], [0.009, -0.016, 8.651]], "species": ["Nd", "Nd", "Nd", "Nd", "Nd", "Nd", "In", "In", "In", "In", "In", "Ag"], "frac_coords": [[0.500, 0.245, 0.000], [0.164, 0.753, 0.671], [0.164, 0.247, 0.671], [0.500, 0.755, 0.000], [0.836, 0.753, 0.329], [0.836, 0.247, 0.329], [0.000, 0.500, 0.000], [0.335, 0.000, 0.330], [0.665, 0.000, 0.670], [0.333, 0.500, 0.335], [0.667, 0.500, 0.665], [0.000, 0.000, 0.000]], "space_group": "P2/m", "final_energy_ev_per_atom": -4.21}


{"formula": "NdInAg4", "functional": "PBE", "state": "relaxed", "cell": [[-0.951, 2.163, -5.135], [-4.841, -1.130, -2.690], [-3.869, 4.064, -0.683]], "species": ["Nd", "Ag", "Ag", "Ag", "Ag", "In"], "frac_coords": [[0.250, 0.250, 0.250], [0.625, 0.625, 0.625], [0.124, 0.625, 0.625], [0.625, 0.124, 0.625], [0.625, 0.625, 0.124], [0.000, 0.000, 0.000]], "space_group": "F-43m", "final_energy_ev_per_atom": -3.39}


{"formula": "Nd2InAg3", "functional": "PBE", "state": "relaxed", "cell": [[3.616, 0.000, -0.962], [-0.338, 4.468, -1.270], [0.562, 0.283, 9.386]], "species": ["In", "Ag", "Ag", "Ag", "Nd", "Nd"], "frac_coords": [[0.462, 0.962, 0.924], [0.305, 0.805, 0.609], [0.695, 0.695, 0.390], [0.541, 0.541, 0.082], [0.873, 0.373, 0.745], [0.125, 0.125, 0.250]], "de_polymorph_ev_per_fu": 0.54, "space_group": "Imm2", "final_energy_ev_per_atom": -3.70}


{"formula": "NdInNiAg", "functional": "PBE", "state": "relaxed", "cell": [[-2.668, -3.265, -2.499], [2.198, -3.126, -3.070], [0.268, -4.763, 1.129]], "species": ["In", "Ni", "Ag", "Nd"], "frac_coords": [[0.000, 0.000, 0.000], [0.750, 0.750, 0.750], [0.250, 0.250, 0.250], [0.500, 0.500, 0.500]], "space_group": "F-43m", "final_energy_ev_per_atom": -4.28}


{"formula": "Nd2InAg2Pd5", "functional": "PBE", "state": "relaxed", "cell": [[4.018, 0.000, 0.000], [0.000, 9.951, 0.000], [0.000, 0.000, 9.951]], "species": ["Pd", "Pd", "Pd", "Pd", "Pd", "Pd", "Pd", "Pd", "Pd", "Pd", "Nd", "Nd", "Nd", "Nd", "In", "In", "Ag", "Ag", "Ag", "Ag"], "frac_coords": [[0.500, 0.800, 0.944], [0.500, 0.444, 0.300], [0.500, 0.056, 0.800], [0.500, 0.200, 0.056], [0.500, 0.944, 0.200], [0.500, 0.000, 0.500], [0.500, 0.300, 0.556], [0.500, 0.500, 0.000], [0.500, 0.556, 0.700], [0.500, 0.700, 0.444], [0.000, 0.328, 0.828], [0.000, 0.172, 0.328], [0.000, 0.828, 0.672], [0.000, 0.672, 0.172], [0.000, 0.000, 0.000], [0.000, 0.500, 0.500], [0.000, 0.127, 0.627], [0.000, 0.627, 0.873], [0.000, 0.873, 0.373], [0.000, 0.373, 0.127]], "space_group": "P4/mbm", "final_energy_ev_per_atom": -4.91}


{"formula": "Nd4InAg2Pd", "functional": "PBE", "state": "relaxed", "cell": [[5.311, 0.000, 0.000], [2.656, 4.600, 0.000], [2.656, 1.533, 8.639]], "species": ["Nd", "Nd", "Nd", "Nd", "Pd", "Ag", "Ag", "In"], "frac_coords": [[0.383, 0.383, 0.852], [0.870, 0.870, 0.391], [0.130, 0.130, 0.609], [0.617, 0.617, 0.148], [0.500, 0.500, 0.500], [0.259, 0.259, 0.223], [0.741, 0.741, 0.777], [0.000, 0.000, 0.000]], "space_group": "R-3m", "final_energy_ev_per_atom": -4.53}


{"formula": "PmNdInAg", "functional": "PBE", "state": "relaxed", "cell": [[5.403, 0.000, 0.000], [2.701, 4.679, 0.000], [2.701, 1.560, 4.411]], "species": ["Pm", "Ag", "In", "Nd"], "frac_coords": [[0.000, 0.000, 0.000], [0.250, 0.250, 0.250], [0.750, 0.750, 0.750], [0.500, 0.500, 0.500]], "space_group": "F-43m", "final_energy_ev_per_atom": -4.15}


Size of the total moment
In order: 1.465, 0.000, 0.000, 0.000, 0.002, 0.000, 0.000, 0.000, 0.000, 0.000, 0.000, 0.437
Unit: μB/cell